1.
The following is a DFT calculation (PBE) of an optimized crystal structure of Ac2PrSb4Pd3.

Geometry as CIF:
```
data_Ac2PrSb4Pd3
_space_group_name_H-M_alt 'P -4 m 2'
_space_group_IT_number 115
_cell_length_a 4.751
_cell_length_b 4.751
_cell_length_c 11.967
_cell_angle_alpha 90.00
_cell_angle_beta 90.00
_cell_angle_gamma 90.00
loop_
_space_group_symop_operation_xyz
'x,y,z'
'y,-x,-z'
'-x,-y,z'
'-y,x,-z'
'-x,y,z'
'-y,-x,-z'
'x,-y,z'
'y,x,-z'
loop_
_atom_site_label
_atom_site_fract_x
_atom_site_fract_y
_atom_site_fract_z
_atom_site_occupancy
Ac1 0.000 0.500 0.220 1
Pr1 0.000 0.000 0.500 1
Sb1 0.000 0.000 0.000 1
Sb2 0.000 0.500 0.661 1
Sb3 0.500 0.500 0.000 1
Pd1 0.000 0.500 0.885 1
Pd2 0.500 0.500 0.500 1
```

Electronic total energy in eV/atom: -5.373
Uncorrected formation energy in meV/atom: -867

2.
The following is a DFT calculation (PBE) of an optimized crystal structure of Be3AlB.

Geometry as CIF:
```
data_Be3AlB
_space_group_name_H-M_alt 'P m -3 m'
_space_group_IT_number 221
_space_group_name_Hall '-P 4 2 3'
_cell_length_a 3.744
_cell_length_b 3.744
_cell_length_c 3.744
_cell_angle_alpha 90.00
_cell_angle_beta 90.00
_cell_angle_gamma 90.00
loop_
_atom_site_label
_atom_site_fract_x
_atom_site_fract_y
_atom_site_fract_z
_atom_site_occupancy
Be1 0.000 0.000 0.500 1
Al1 0.500 0.500 0.500 1
B1 0.000 0.000 0.000 1
```

Electronic total energy in eV/atom: -3.913
Formation energy in eV per atom: 0.407
Energy above the most stable polymorph in this dataset in kJ/mol of formula units: 0.0

3.
The following is a DFT calculation (PBE) of an optimized crystal structure of Mg3Pd6Pt.

Geometry as CIF:
```
data_Mg3Pd6Pt
_space_group_name_H-M_alt 'P 1 21/m 1'
_space_group_IT_number 11
_cell_length_a 7.495
_cell_length_b 4.591
_cell_length_c 9.848
_cell_angle_alpha 90.00
_cell_angle_beta 110.74
_cell_angle_gamma 90.00
loop_
_space_group_symop_operation_xyz
'x,y,z'
'-x,-y,-z'
'-x,y+1/2,-z'
'x,-y+1/2,z'
loop_
_atom_site_label
_atom_site_fract_x
_atom_site_fract_y
_atom_site_fract_z
_atom_site_occupancy
Mg1 0.076 0.250 0.228 1
Mg2 0.302 0.250 0.022 1
Mg3 0.318 0.750 0.383 1
Pd1 0.099 0.250 0.730 1
Pd2 0.105 0.750 0.076 1
Pd3 0.296 0.250 0.535 1
Pd4 0.304 0.750 0.864 1
Pd5 0.482 0.250 0.324 1
Pd6 0.496 0.750 0.165 1
Pt1 0.099 0.750 0.565 1
```

Electronic total energy in eV/atom: -4.715
Formation energy in eV per atom: -0.517
Energy above the most stable polymorph in this dataset in kJ/mol of formula units: 0.0

4.
The following is a DFT calculation (PBE) of an optimized crystal structure of TbPr4Y10.

Geometry as CIF:
```
data_TbPr4Y10
_space_group_name_H-M_alt 'I 4/m m m'
_space_group_IT_number 139
_space_group_name_Hall '-I 4 2'
_cell_length_a 11.420
_cell_length_b 11.420
_cell_length_c 7.978
_cell_angle_alpha 90.00
_cell_angle_beta 90.00
_cell_angle_gamma 90.00
loop_
_atom_site_label
_atom_site_fract_x
_atom_site_fract_y
_atom_site_fract_z
_atom_site_occupancy
Tb1 0.000 0.000 0.000 1
Pr1 0.228 0.228 0.000 1
Y1 0.000 0.209 0.292 1
Y2 0.000 0.500 0.250 1
```

Electronic total energy in eV/atom: -5.624
Formation energy in eV per atom: 0.268

5.
The following is a DFT calculation (PBE) of an optimized crystal structure of La2Tb5Tm4.

Geometry as CIF:
```
data_La2Tb5Tm4
_space_group_name_H-M_alt 'P -1'
_space_group_IT_number 2
_cell_length_a 3.524
_cell_length_b 8.948
_cell_length_c 11.613
_cell_angle_alpha 85.77
_cell_angle_beta 89.98
_cell_angle_gamma 78.72
loop_
_space_group_symop_operation_xyz
'x,y,z'
'-x,-y,-z'
loop_
_atom_site_label
_atom_site_fract_x
_atom_site_fract_y
_atom_site_fract_z
_atom_site_occupancy
La1 0.217 0.065 0.354 1
Tb1 0.000 0.500 0.000 1
Tb2 0.324 0.852 0.935 1
Tb3 0.404 0.687 0.462 1
Tm1 0.139 0.222 0.798 1
Tm2 0.469 0.563 0.746 1
```

Electronic total energy in eV/atom: -4.560
Formation energy in eV per atom: 0.067
Energy above the most stable polymorph in this dataset in kJ/mol of formula units: 0.0

6.
The following is a DFT calculation (PBE) of an optimized crystal structure of Sb3Au2Xe2F19.

Geometry as CIF:
```
data_Sb3Au2Xe2F19
_space_group_name_H-M_alt 'P -1'
_space_group_IT_number 2
_cell_length_a 7.030
_cell_length_b 8.768
_cell_length_c 9.537
_cell_angle_alpha 99.22
_cell_angle_beta 102.92
_cell_angle_gamma 112.85
loop_
_space_group_symop_operation_xyz
'x,y,z'
'-x,-y,-z'
loop_
_atom_site_label
_atom_site_fract_x
_atom_site_fract_y
_atom_site_fract_z
_atom_site_occupancy
Sb1 0.000 0.000 0.000 1
Sb2 0.466 0.253 0.629 1
Au1 0.010 0.708 0.648 1
Xe1 0.251 0.635 0.863 1
F1 0.000 0.500 0.500 1
F2 0.002 0.934 0.792 1
F3 0.120 0.237 0.005 1
F4 0.177 0.256 0.549 1
F5 0.260 0.744 0.287 1
F6 0.284 0.016 0.070 1
F7 0.305 0.011 0.601 1
F8 0.398 0.503 0.343 1
F9 0.426 0.298 0.821 1
F10 0.478 0.215 0.430 1
```

Electronic total energy in eV/atom: -3.887
Uncorrected formation energy in meV/atom: -1789